The following is a DFT calculation (GGA+U) of a relaxed structure of MoPHO2.

Summary:
Electronic total energy in eV/atom: -5.312
Total moment in μB/f.u.: 0.00
Offset from the most stable computed form in eV per formula unit: 0.000
Volume in Å³/cell: 72.3
D(E_F) in states/eV per cell: 1.67

POSCAR file:
```
MoPHO2
1.0
-0.896 -2.783 2.386
2.767 1.097 2.320
-3.233 3.093 2.393
P Mo O H
1 1 2 1
Direct
0.000 0.000 0.500
0.000 0.000 0.000
0.000 0.500 0.000
0.500 0.000 0.000
0.500 0.500 0.500
```